Record 1
! SCAN Li3Mn5O10, single point on PBEsol structure; values from VASP
&SYSTEM
  ibrav = 0, nat = 18, ntyp = 3
/
ATOMIC_SPECIES
O 16.00 O.upf
Li 6.94 Li.upf
Mn 54.94 Mn.upf
CELL_PARAMETERS angstrom
5.074 -0.072 -0.022
0.881 4.846 0.013
2.373 1.948 6.833
ATOMIC_POSITIONS angstrom
O 4.345 0.437 0.947
O 5.903 2.479 5.209
O 6.806 4.970 6.432
O 3.120 3.926 4.564
O 5.208 2.797 2.260
O 3.982 6.286 5.877
O 6.001 5.258 3.647
O 2.326 1.465 3.177
O 2.425 4.244 1.615
O 1.521 1.753 0.391
Li 4.235 4.565 2.895
Li 4.093 2.158 3.929
Li 1.627 3.397 3.423
Mn 7.443 3.175 6.098
Mn 2.447 5.684 4.751
Mn 5.880 1.039 2.073
Mn 2.537 -0.036 -0.011
Mn 0.885 3.548 0.726
! Calculated density, Mg/m³: 4.49
! E_form (uncorrected), eV per atom: -2.1862
! Total energy, eV per atom: -11.12


Record 2
! SCAN GaSe2IN, single point on PBEsol structure; values from VASP
&SYSTEM
  ibrav = 0, nat = 5, ntyp = 4
/
ATOMIC_SPECIES
Ga 69.72 Ga.upf
Se 78.96 Se.upf
I 126.90 I.upf
N 14.01 N.upf
CELL_PARAMETERS angstrom
3.671 0.000 0.000
0.000 5.235 0.000
0.000 0.000 5.235
ATOMIC_POSITIONS angstrom
Ga 0.000 0.000 0.000
Se 0.000 2.618 0.000
Se 0.000 0.000 2.618
I 1.836 2.618 2.618
N 1.836 0.000 0.000
! Calculated density, Mg/m³: 6.08
! E_form (uncorrected), eV per atom: 0.7570
! Total energy, eV per atom: -19.75


Record 3
! SCAN HoGa6, single point on PBEsol structure; values from VASP
&SYSTEM
  ibrav = 0, nat = 14, ntyp = 2
/
ATOMIC_SPECIES
Ga 69.72 Ga.upf
Ho 164.93 Ho.upf
CELL_PARAMETERS angstrom
-4.113 -2.844 3.016
3.086 0.736 4.903
-3.545 6.463 1.261
ATOMIC_POSITIONS angstrom
Ga -2.539 0.436 6.247
Ga -4.684 2.085 4.878
Ga -3.487 0.479 3.359
Ga -3.487 4.368 5.017
Ga -0.984 2.008 2.560
Ga -2.545 2.865 6.892
Ga -0.936 4.180 4.675
Ga -1.084 -0.014 4.162
Ga -2.974 5.422 1.058
Ga -3.074 3.400 2.660
Ga -0.571 1.040 0.203
Ga -0.036 1.964 5.448
Ho 1.543 0.368 2.451
Ho -2.056 -1.422 1.508
! Formation energy from the elements, meV per atom: -353
! Calculated density, Mg/m³: 7.60
! Total energy, eV per atom: -21.36


Record 4
! SCAN YSiPCl2, single point on PBEsol structure; values from VASP
&SYSTEM
  ibrav = 0, nat = 5, ntyp = 4
/
ATOMIC_SPECIES
Y 88.91 Y.upf
Si 28.09 Si.upf
Cl 35.45 Cl.upf
P 30.97 P.upf
CELL_PARAMETERS angstrom
-0.748 4.681 -1.545
-0.165 -1.585 -4.724
-5.512 -0.735 0.439
ATOMIC_POSITIONS angstrom
Y 0.000 0.000 0.000
Si -3.212 1.180 -2.915
Cl -0.082 -0.793 -2.362
Cl -0.374 2.340 -0.772
P -2.756 -0.368 0.220
! Calculated density, Mg/m³: 2.62
! E_form (uncorrected), eV per atom: -0.4655
! Total energy, eV per atom: -13.31


Record 5
! SCAN MgOs2Se, single point on PBEsol structure; values from VASP
&SYSTEM
  ibrav = 0, nat = 4, ntyp = 3
/
ATOMIC_SPECIES
Se 78.96 Se.upf
Mg 24.30 Mg.upf
Os 190.23 Os.upf
CELL_PARAMETERS angstrom
-3.254 -0.060 -2.858
-2.231 -3.652 -0.665
-4.092 -0.320 1.383
ATOMIC_POSITIONS angstrom
Se -4.788 -2.016 -1.070
Mg 0.000 0.000 0.000
Os -7.182 -3.025 -1.605
Os -2.394 -1.008 -0.535
! Calculated density, Mg/m³: 13.98
! E_form (uncorrected), eV per atom: 0.5640
! Offset from the most stable computed form, kJ per mole of atoms: 22.7
! Total energy, eV per atom: -41.64


Record 6
! SCAN TaCo2Ni, single point on PBEsol structure; values from VASP
&SYSTEM
  ibrav = 0, nat = 4, ntyp = 3
/
ATOMIC_SPECIES
Co 58.93 Co.upf
Ni 58.69 Ni.upf
Ta 180.95 Ta.upf
CELL_PARAMETERS angstrom
-0.048 0.967 -3.456
-3.509 -0.735 -0.157
1.013 3.331 2.781
ATOMIC_POSITIONS angstrom
Co -1.779 0.116 -1.806
Co -0.407 2.207 -1.240
Ni 0.000 0.000 0.000
Ta -2.137 1.356 0.409
! Formation energy from the elements, meV per atom: -176
! Calculated density, Mg/m³: 12.59
! Offset from the most stable computed form, kJ per mole of atoms: 1.9
! Total energy, eV per atom: -29.52


Record 7
! SCAN Ce5Sn3, single point on PBEsol structure; values from VASP
&SYSTEM
  ibrav = 0, nat = 16, ntyp = 2
/
ATOMIC_SPECIES
Ce 140.12 Ce.upf
Sn 118.71 Sn.upf
CELL_PARAMETERS angstrom
5.974 0.000 0.000
2.987 8.561 0.000
2.987 0.000 8.561
ATOMIC_POSITIONS angstrom
Ce 5.974 7.366 5.786
Ce 2.987 5.786 1.196
Ce 8.961 2.776 7.366
Ce 2.987 2.776 1.196
Ce 5.974 7.366 2.776
Ce 4.480 4.281 4.281
Ce 7.467 4.281 4.281
Ce 5.974 1.196 2.776
Ce 5.974 1.196 5.786
Ce 8.961 5.786 7.366
Sn 2.987 1.552 4.281
Sn 5.974 4.281 1.552
Sn 1.493 0.000 0.000
Sn 5.974 4.281 7.009
Sn 8.961 7.009 4.281
Sn 4.480 0.000 0.000
! Formation energy from the elements, meV per atom: -656
! Calculated density, Mg/m³: 8.01
! Offset from the most stable computed form, kJ per mole of atoms: 0.0
! Total energy, eV per atom: -41.98


Record 8
! SCAN In6Ag7, single point on PBEsol structure; values from VASP
&SYSTEM
  ibrav = 0, nat = 13, ntyp = 2
/
ATOMIC_SPECIES
Ag 107.87 Ag.upf
In 114.82 In.upf
CELL_PARAMETERS angstrom
5.605 0.000 0.000
2.803 4.854 0.000
2.803 1.618 9.551
ATOMIC_POSITIONS angstrom
Ag 4.203 2.427 2.476
Ag 7.007 2.427 2.476
Ag 4.203 4.046 7.074
Ag 5.605 1.617 7.074
Ag 5.605 4.855 2.476
Ag 5.605 3.236 4.775
Ag 7.007 4.046 7.074
In 2.803 1.618 8.092
In 8.408 4.854 4.508
In 8.408 4.854 1.459
In 2.803 1.618 5.043
In 8.408 4.854 9.526
In 2.803 1.618 0.024
! Formation energy from the elements, meV per atom: 22
! Calculated density, Mg/m³: 9.23
! Total energy, eV per atom: -32.28


Record 9
! SCAN Ta4Mo, single point on PBEsol structure; values from VASP
&SYSTEM
  ibrav = 0, nat = 5, ntyp = 2
/
ATOMIC_SPECIES
Mo 95.94 Mo.upf
Ta 180.95 Ta.upf
CELL_PARAMETERS angstrom
-0.380 -2.871 1.398
4.550 -1.088 2.701
-2.129 0.862 4.890
ATOMIC_POSITIONS angstrom
Mo 0.000 0.000 0.000
Ta -0.109 -0.896 5.528
Ta 2.150 -2.201 3.462
Ta 2.036 -2.615 6.279
Ta 0.005 -0.482 2.710
! Formation energy from the elements, meV per atom: -99
! Calculated density, Mg/m³: 15.91
! Offset from the most stable computed form, kJ per mole of atoms: 0.0
! Total energy, eV per atom: -60.34


Record 10
! SCAN Y7Rh3, single point on PBEsol structure; values from VASP
&SYSTEM
  ibrav = 0, nat = 20, ntyp = 2
/
ATOMIC_SPECIES
Rh 102.91 Rh.upf
Y 88.91 Y.upf
CELL_PARAMETERS angstrom
-3.041 -2.788 4.473
8.022 -0.053 5.420
-6.128 7.479 0.496
ATOMIC_POSITIONS angstrom
Rh 1.732 3.714 6.120
Rh -3.289 0.548 4.873
Rh -5.930 3.771 5.086
Rh -2.472 3.749 7.422
Rh 4.373 0.491 5.906
Rh 0.916 0.514 3.570
Y 0.135 3.488 8.481
Y -1.287 1.146 1.916
Y 4.387 3.233 5.446
Y 1.362 3.253 3.402
Y -5.139 5.847 2.228
Y -0.096 5.814 5.635
Y -3.629 5.297 5.422
Y 1.663 0.952 6.195
Y -1.318 2.477 5.235
Y 3.673 0.434 3.215
Y -1.056 -1.181 4.762
Y -1.533 4.857 2.316
Y -4.343 2.497 3.192
Y 3.987 -1.214 8.170
! Formation energy from the elements, meV per atom: -703
! Calculated density, Mg/m³: 6.26
! Total energy, eV per atom: -30.32


Record 11
! SCAN Zr5Ru, single point on PBEsol structure; values from VASP
&SYSTEM
  ibrav = 0, nat = 6, ntyp = 2
/
ATOMIC_SPECIES
Zr 91.22 Zr.upf
Ru 101.07 Ru.upf
CELL_PARAMETERS angstrom
-1.897 -1.834 1.859
-1.060 -1.558 -2.620
8.645 -7.791 1.136
ATOMIC_POSITIONS angstrom
Zr 4.323 -3.896 0.568
Zr 1.255 -4.160 -0.021
Zr 7.459 -6.722 0.980
Zr 1.186 -1.069 0.156
Zr 4.432 -7.023 0.396
Ru -1.479 -1.696 -0.380
! Formation energy from the elements, meV per atom: -225
! Calculated density, Mg/m³: 7.60
! Total energy, eV per atom: -31.61


Record 12
! SCAN AlZn, single point on PBEsol structure; values from VASP
&SYSTEM
  ibrav = 0, nat = 4, ntyp = 2
/
ATOMIC_SPECIES
Al 26.98 Al.upf
Zn 65.41 Zn.upf
CELL_PARAMETERS angstrom
2.854 0.000 -0.055
0.000 4.177 0.000
-1.247 0.000 5.171
ATOMIC_POSITIONS angstrom
Al 0.055 1.044 1.739
Al 1.553 3.133 3.376
Zn 0.153 1.044 4.373
Zn 1.454 3.133 0.742
! Formation energy from the elements, meV per atom: 19
! Calculated density, Mg/m³: 5.00
! Total energy, eV per atom: -10.61